Entry from the Open Quantum Materials Database: crystalline DyYBi at its relaxed geometry (PBE).

Lattice parameters (Å, degrees): 7.309 7.309 7.309 90.00 90.00 90.00
Space group F-43m (No. 216)
Asymmetric unit:
Dy: 0.000 0.000 0.000
Y: 0.000 0.000 0.500
Bi: 0.250 0.250 0.250

V ... 390.4 Å³/cell

Entry from the Open Quantum Materials Database: crystalline DyY4Bi5 at its relaxed geometry (PBE).

Lattice parameters (Å, degrees): 4.467 4.467 31.587 90.00 90.00 90.00
Space group I4/mmm (No. 139)
Asymmetric unit:
Dy: 0.000 0.000 0.000
Y: 0.000 0.000 0.200
Y: 0.000 0.000 0.400
Bi: 0.000 0.000 0.100
Bi: 0.000 0.000 0.300
Bi: 0.000 0.000 0.500

V ... 630.3 Å³/cell

Entry from the Open Quantum Materials Database: crystalline DyY2Bi3 at its relaxed geometry (PBE).

Lattice parameters (Å, degrees): 4.4567 4.4567 10.9912 90.00 90.00 120.00
Space group P-3m1 (No. 164)
Asymmetric unit:
Dy: 0.0000 0.0000 0.0000
Y: 0.3333 0.6667 0.3333
Bi: 0.0000 0.0000 0.5000
Bi: 0.3333 0.6667 0.8334

V ... 189.1 Å³/cell

Entry from the Open Quantum Materials Database: crystalline Dy5YBi6 at its relaxed geometry (PBE).

Lattice parameters (Å, degrees): 7.733 13.393 7.731 90.00 109.47 90.00
Space group C2/m (No. 12)
Asymmetric unit:
Dy: 0.000 0.000 0.000
Dy: 0.000 0.167 0.500
Dy: 0.000 0.334 0.000
Y: 0.000 0.500 0.500
Bi: 0.249 0.000 0.750
Bi: 0.250 0.167 0.250

V ... 754.9 Å³/cell

Entry from the Open Quantum Materials Database: crystalline Dy5Zn2Bi at its relaxed geometry (PBE).

Lattice parameters (Å, degrees): 8.187 8.187 12.753 90.00 90.00 90.00
Space group I4/mcm (No. 140)
Asymmetric unit:
Dy: 0.000 0.000 0.000
Dy: 0.151 0.349 0.142
Zn: 0.142 0.358 0.500
Bi: 0.000 0.000 0.250

V ... 854.8 Å³/cell

Entry from the Open Quantum Materials Database: crystalline DyZrBi at its relaxed geometry (PBE).

Lattice parameters (Å, degrees): 7.083 7.083 7.083 90.00 90.00 90.00
Space group F-43m (No. 216)
Asymmetric unit:
Dy: 0.000 0.000 0.000
Zr: 0.000 0.000 0.500
Bi: 0.250 0.250 0.250

V ... 355.3 Å³/cell

Entry from the Open Quantum Materials Database: crystalline DyZrBi at its relaxed geometry (PBE).

Lattice parameters (Å, degrees): 5.5046 5.5046 3.1858 90.00 90.00 120.00
Space group P-6m2 (No. 187)
Asymmetric unit:
Dy: 0.0000 0.0000 0.0000
Zr: 0.3333 0.6667 0.0000
Bi: 0.6667 0.3333 0.0000

V ... 83.6 Å³/cell

Entry from the Open Quantum Materials Database: crystalline Er2Bi at its relaxed geometry (PBE).

Lattice parameters (Å, degrees): 8.923 8.923 8.923 90.00 90.00 90.00
Space group Fd-3m (No. 227, origin choice 2)
Asymmetric unit:
Er: 0.000 0.000 0.000
Bi: 0.125 0.125 0.625

V ... 710.5 Å³/cell

no.,total energy (eV per atom)
1,-5.36
2,-5.97
3,-5.84
4,-5.36
5,-4.11
6,-5.78
7,-5.55
8,-4.43